Computed, not measured: a relaxed structure of BaGa3I at the GGA-PBEsol level of DFT.

Output
- Space group: Pm-3m (221)
- Crystal system: cubic
- E: -1.9654 eV per atom
- E_form (uncorrected): 396 kJ/mol of formula units
- Total magnetization: 0.01 μB/f.u.

POSCAR file:
```
BaGa3I
1.0
6.048 0.000 0.000
0.000 6.048 0.000
0.000 0.000 6.048
Ba Ga I
1 3 1
direct
0.000 0.000 0.000
0.000 0.000 0.500
0.000 0.500 0.000
0.500 0.000 0.000
0.500 0.500 0.500
```



Computed, not measured: a relaxed structure of BeCrRu2 at the GGA-PBEsol level of DFT.

Output
- Space group: Imm2 (44)
- Crystal system: orthorhombic
- Formation energy: -0.05 eV/atom
- E: -8.7003 eV per atom
- Total magnetization: 0.00 μB/f.u.

POSCAR file:
```
BeCrRu2
1.0
2.894 0.000 0.000
0.000 3.883 0.000
0.000 0.000 8.190
Be Cr Ru
2 2 4
direct
0.000 0.000 0.000
0.500 0.500 0.500
0.000 0.500 0.740
0.500 0.000 0.240
0.000 0.000 0.493
0.000 0.500 0.257
0.500 0.000 0.757
0.500 0.500 0.993
```



Computed, not measured: a relaxed structure of BaTl2TcRh at the GGA-PBEsol level of DFT.

Output
- Space group: P4/mmm (123)
- Crystal system: tetragonal
- Formation energy: 0.92 eV/atom
- E: -4.4476 eV per atom
- Total magnetization: 3.65 μB/f.u.

POSCAR file:
```
BaTl2TcRh
1.0
5.166 0.000 0.000
0.000 5.166 0.000
0.000 0.000 5.621
Ba Tl Tc Rh
1 2 1 1
direct
0.000 0.000 0.000
0.000 0.500 0.500
0.500 0.000 0.500
0.500 0.500 0.000
0.000 0.000 0.500
```



Computed, not measured: a relaxed structure of CoRh2 at the GGA-PBEsol level of DFT.

Output
- Space group: Cmcm (63)
- Crystal system: orthorhombic
- Formation energy: 0.07 eV/atom
- E: -7.9349 eV per atom
- Total magnetization: 1.63 μB/f.u.

POSCAR file:
```
CoRh2
1.0
3.662 0.000 0.000
0.000 11.077 0.000
0.000 0.000 3.692
Co Rh
4 8
direct
0.000 0.080 0.250
0.000 0.920 0.750
0.500 0.420 0.750
0.500 0.580 0.250
0.000 0.249 0.750
0.000 0.419 0.250
0.000 0.581 0.750
0.000 0.751 0.250
0.500 0.081 0.750
0.500 0.251 0.250
0.500 0.749 0.750
0.500 0.919 0.250
```



Computed, not measured: a relaxed structure of Re5Si at the GGA-PBEsol level of DFT.

Output
- Space group: P6/mmm (191)
- Crystal system: hexagonal
- E: -11.3039 eV per atom
- E_form (uncorrected): 442 kJ/mol of formula units
- Total magnetization: 0.00 μB/f.u.

POSCAR file:
```
Re5Si
1.0
4.935 0.000 0.000
-2.468 4.274 0.000
0.000 0.000 4.674
Re Si
5 1
direct
0.000 0.500 0.000
0.333 0.667 0.500
0.500 0.000 0.000
0.500 0.500 0.000
0.667 0.333 0.500
0.000 0.000 0.500
```



Computed, not measured: a relaxed structure of Y3CoO at the GGA-PBEsol level of DFT.

Output
- Space group: Pm-3m (221)
- Crystal system: cubic
- E: -6.6121 eV per atom
- E_form (uncorrected): 38 kJ/mol of formula units
- Total magnetization: 0.00 μB/f.u.

POSCAR file:
```
Y3CoO
1.0
5.013 0.000 0.000
0.000 5.013 0.000
0.000 0.000 5.013
Y Co O
3 1 1
direct
0.000 0.000 0.500
0.000 0.500 0.000
0.500 0.000 0.000
0.000 0.000 0.000
0.500 0.500 0.500
```